No. 1
Compound: Mg3Sc
Source: Alexandria via LeMat-Bulk
Functional: PBE
Structure: relaxed

VASP energy	-10.64	eV/f.u.

Lattice parameters (Å, degrees): 5.752 5.752 5.752 90.00 90.00 90.00
Fractional positions:
Mg (0.500, 0.000, 0.750)
Mg (0.000, 0.750, 0.500)
Mg (0.250, 0.500, 0.000)
Sc (0.500, 0.500, 0.500)
Sc (0.000, 0.000, 0.000)
Mg (0.500, 0.000, 0.250)
Mg (0.750, 0.500, 0.000)
Mg (0.000, 0.250, 0.500)

No. 2
Compound: Nd2AsPt
Source: Alexandria via LeMat-Bulk
Functional: PBE
Structure: relaxed

ΔE to the lowest computed polymorph	0.076	eV/atom

Lattice parameters (Å, degrees): 4.211 4.211 7.473 73.64 73.64 60.00
Fractional positions:
Nd (0.751, 0.751, 0.747)
As (0.000, 0.000, 0.000)
Nd (0.249, 0.249, 0.253)
Pt (0.500, 0.500, 0.500)

No. 3
Compound: Pa3Ga2Tc3
Source: Alexandria via LeMat-Bulk
Functional: PBE
Structure: relaxed

VASP energy	-67.33	eV/f.u.

Lattice parameters (Å, degrees): 4.250 5.368 7.336 101.21 106.84 90.00
Fractional positions:
Tc (0.607, 0.062, 0.214)
Ga (0.765, 0.855, 0.530)
Pa (0.866, 0.428, 0.732)
Tc (0.500, 0.500, 0.000)
Tc (0.393, 0.938, 0.786)
Pa (0.000, 0.000, 0.000)
Pa (0.134, 0.572, 0.268)
Ga (0.235, 0.145, 0.470)

No. 4
Compound: Zr3CrOs
Source: Alexandria via LeMat-Bulk
Functional: PBE
Structure: relaxed

ΔE to the lowest computed polymorph	0.000	eV/atom

Lattice parameters (Å, degrees): 5.058 5.058 5.058 90.00 90.00 90.00
Site moments in Bohr magnetons follow the coordinates.
Fractional positions:
Zr (0.500, 0.000, 0.000)  -0.42
Os (0.000, 0.000, 0.000)  0.12
Zr (0.000, 0.500, 0.000)  -0.23
Cr (0.500, 0.500, 0.500)  3.88
Zr (0.000, 0.000, 0.500)  -0.12

No. 5
Compound: ReBiF2
Source: Alexandria via LeMat-Bulk
Functional: PBE
Structure: relaxed

ΔE to the lowest computed polymorph	0.000	eV/atom
energy relative to the elements, uncorrected	-704.2	meV/atom

Lattice parameters (Å, degrees): 9.631 9.631 9.631 17.88 17.88 17.88
Fractional positions:
Bi (0.500, 0.500, 0.500)
F (0.933, 0.933, 0.933)
Re (0.000, 0.000, 0.000)
F (0.067, 0.067, 0.067)

No. 6
Compound: Al4Os3
Source: Alexandria via LeMat-Bulk
Functional: PBE
Structure: relaxed

ΔE to the lowest computed polymorph	0.361	eV/atom

Lattice parameters (Å, degrees): 5.198 5.198 4.672 90.00 90.00 120.00
Fractional positions:
Al (0.667, 0.333, 0.500)
Os (0.000, 0.500, 0.000)
Al (0.000, 0.000, 0.750)
Os (0.500, 0.500, 0.000)
Al (0.333, 0.667, 0.500)
Os (0.500, 0.000, 0.000)
Al (0.000, 0.000, 0.250)

No. 7
Compound: K2RbHg2Br7
Source: Alexandria via LeMat-Bulk
Functional: PBE
Structure: relaxed

energy relative to the elements, uncorrected	-1056.2	meV/atom

Lattice parameters (Å, degrees): 5.693 5.693 14.189 78.44 78.44 90.05
Fractional positions:
Br (0.695, 0.695, 0.591)
Br (0.604, 0.099, 0.803)
K (0.814, 0.814, 0.350)
Br (0.901, 0.396, 0.197)
Br (0.500, 0.500, 0.000)
K (0.186, 0.186, 0.650)
Hg (0.606, 0.606, 0.791)
Hg (0.394, 0.394, 0.209)
Br (0.099, 0.604, 0.803)
Br (0.305, 0.305, 0.409)
Rb (0.000, 0.000, 0.000)
Br (0.396, 0.901, 0.197)

No. 8
Compound: Ba5As
Source: Alexandria via LeMat-Bulk
Functional: PBE
Structure: relaxed

ΔE to the lowest computed polymorph	0.632	eV/atom

Lattice parameters (Å, degrees): 7.576 7.576 7.576 60.00 60.00 60.00
Fractional positions:
Ba (0.250, 0.250, 0.250)
Ba (0.627, 0.119, 0.627)
Ba (0.119, 0.627, 0.627)
Ba (0.627, 0.627, 0.119)
As (0.000, 0.000, 0.000)
Ba (0.627, 0.627, 0.627)